(1)
Material: BaTiTe2N
Method: DFT, PBE
State: optimized geometry

Results
* E above lowest polymorph: 1869 meV per atom
* energy relative to the elements, uncorrected: 1.11 eV per atom
* V: 177 Å³ per cell

Lattice parameters (Å, degrees): 6.3685 6.3685 4.3619 90.00 90.00 90.00
Positions (direct):
Ba  0.0000  0.0000  0.0000
Ti  0.5000  0.5000  0.5000
Te  0.0000  0.5000  0.0000
Te  0.5000  0.0000  0.0000
N  0.0000  0.0000  0.5000

(2)
Material: LiSc2Pd4
Method: DFT, PBE
State: optimized geometry

Results
* E above lowest polymorph: 0 meV per atom
* ΔE_f: -646 meV per atom
* V: 122 Å³ per cell

Lattice parameters (Å, degrees): 4.1842 4.1842 6.9922 90.00 90.00 90.00
Positions (direct):
Li  0.0000  0.0000  0.0000
Sc  0.0000  0.0000  0.5000
Sc  0.5000  0.5000  0.0000
Pd  0.0000  0.5000  0.2516
Pd  0.0000  0.5000  0.7484
Pd  0.5000  0.0000  0.2516
Pd  0.5000  0.0000  0.7484

Look up the E above lowest polymorph of the second one.
0 meV per atom

Among the records above, which one has the lowest E above lowest polymorph?
LiSc2Pd4

Please write out number 1 again, unchanged.
Material: BaTiTe2N
Method: DFT, PBE
State: optimized geometry

Results
* E above lowest polymorph: 1869 meV per atom
* energy relative to the elements, uncorrected: 1.11 eV per atom
* V: 177 Å³ per cell

Lattice parameters (Å, degrees): 6.3685 6.3685 4.3619 90.00 90.00 90.00
Positions (direct):
Ba  0.0000  0.0000  0.0000
Ti  0.5000  0.5000  0.5000
Te  0.0000  0.5000  0.0000
Te  0.5000  0.0000  0.0000
N  0.0000  0.0000  0.5000